[1]
18
Lattice="-0.038 0.940 -5.632 3.655 -9.851 1.226 -9.957 -3.764 -0.560" Properties=species:S:1:pos:R:3 comment="PBE Pm5PrSmHo2, relaxed" rho_g_cm3=7.21 spacegroup="Cmc2_1, No. 36" magmom_total_mub_per_cell=0.0 formation_energy_ev_per_atom=0.149 n_ef_per_ev_cell=28.15 volume_a3_per_atom=34.4 pbc="T T T"
Pm -1.721 -10.570 -4.646
Pm -3.894 -11.744 -1.933
Pm 2.581 -7.413 -1.254
Pm -0.599 -4.117 -3.577
Ho -6.484 -4.874 -0.769
Sm 1.346 -3.802 -0.643
Pm -2.243 -0.855 -3.022
Pm -6.503 -6.703 -3.969
Pm -4.876 -8.231 -1.340
Pm -0.116 -0.403 -0.067
Sm -2.930 -7.076 -4.055
Ho -2.362 -3.401 -0.551
Pr -8.852 -4.716 -3.621
Ho -5.419 -9.820 -4.496
Pr -1.467 -9.463 -1.569
Pm -1.062 -6.435 -1.066
Ho 0.473 -7.677 -4.179
Pm -4.452 -3.573 -3.460


[2]
4
Lattice="3.160 0.000 0.000 0.000 3.160 0.000 0.000 0.000 6.306" Properties=species:S:1:pos:R:3 comment="PBE ScCoMo2, relaxed" rho_g_cm3=7.80 spacegroup="P4mm, No. 99" magmom_total_mub_per_cell=0.5 formation_energy_ev_per_atom=0.017 n_ef_per_ev_cell=3.39 volume_a3_per_atom=15.7 pbc="T T T"
Co 1.580 1.580 4.814
Mo 1.580 1.580 1.419
Mo 0.000 0.000 0.001
Sc 0.000 0.000 3.226


[3]
8
Lattice="3.890 0.000 0.000 0.000 6.726 0.127 0.000 -2.343 6.334" Properties=species:S:1:pos:R:3 comment="PBE Tm2ScUP4, relaxed" rho_g_cm3=7.41 spacegroup="P2/m, No. 10" magmom_total_mub_per_cell=2.0 formation_energy_ev_per_atom=-1.410 n_ef_per_ev_cell=6.23 volume_a3_per_atom=20.9 pbc="T T T"
Sc 0.000 0.000 0.000
P 1.945 1.086 1.552
P 0.000 -0.104 4.816
U 1.945 3.363 0.063
Tm 1.945 -1.171 3.167
P 1.945 3.297 4.909
P 0.000 4.487 1.645
Tm 0.000 2.192 3.230


[4]
6
Lattice="3.808 0.000 0.000 0.000 3.808 0.000 0.000 0.000 11.556" Properties=species:S:1:pos:R:3 comment="PBE Nd2YCd3, relaxed" rho_g_cm3=7.08 spacegroup="P4/mmm, No. 123" magmom_total_mub_per_cell=1.1 formation_energy_ev_per_atom=-0.325 n_ef_per_ev_cell=6.93 volume_a3_per_atom=27.9 pbc="T T T"
Nd 1.904 1.904 9.591
Cd 0.000 0.000 0.000
Y 1.904 1.904 5.778
Cd 0.000 0.000 3.969
Cd 0.000 0.000 7.587
Nd 1.904 1.904 1.965


[5]
10
Lattice="3.959 0.000 0.000 -1.979 5.443 0.000 0.000 0.000 6.152" Properties=species:S:1:pos:R:3 comment="PBE LaNiGeH2, relaxed" rho_g_cm3=6.82 spacegroup="Cmcm, No. 63" magmom_total_mub_per_cell=0.0 n_ef_per_ev_cell=3.65 total_energy_ev_per_atom=-4.93 volume_a3_per_atom=13.3 pbc="T T T"
H 1.979 3.868 0.304
Ge 0.000 4.705 4.614
Ni 0.000 0.000 3.076
H 0.000 1.574 3.380
La 1.979 2.270 4.614
H 0.000 1.574 5.848
Ge 1.979 0.738 1.538
Ni 0.000 0.000 0.000
H 1.979 3.868 2.772
La 0.000 3.172 1.538


[6]
22
Lattice="-4.879 6.300 -2.386 -0.278 -6.040 -5.713 -2.669 -2.963 7.300" Properties=species:S:1:pos:R:3 comment="PBE Nd3Ga2Pd6, relaxed" rho_g_cm3=9.07 spacegroup="Im-3m, No. 229" magmom_total_mub_per_cell=0.0 formation_energy_ev_per_atom=-0.809 n_ef_per_ev_cell=13.13 volume_a3_per_atom=20.1 pbc="T T T"
Pd -1.878 -3.981 2.993
Ga -3.913 -1.352 -0.399
Pd -1.801 -1.956 -4.612
Pd -1.069 -5.022 -1.406
Nd -5.351 2.366 3.484
Pd -4.353 -0.828 -2.951
Pd -4.205 1.191 -1.054
Ga -2.440 3.150 -1.193
Pd -4.148 3.234 0.820
Pd -5.144 0.191 1.356
Pd -3.621 -3.894 0.255
Nd -2.089 -6.382 1.125
Ga -0.139 -3.020 -2.856
Ga -1.334 -1.482 3.650
Nd -2.197 0.971 1.430
Nd -3.656 0.184 -5.741
Nd -0.858 -2.621 0.462
Pd -3.474 -1.875 2.152
Pd -2.682 -2.894 -2.155
Pd -3.356 2.216 -3.487
Pd -3.401 0.103 4.094
Nd -1.501 0.076 -2.358


[7]
4
Lattice="0.000 3.893 3.893 3.893 0.000 3.893 3.893 3.893 0.000" Properties=species:S:1:pos:R:3 comment="PBE Tl2PbCl, relaxed" rho_g_cm3=9.17 spacegroup="Fm-3m, No. 225" magmom_total_mub_per_cell=0.0 e_form_raw_ev_per_atom=-0.205 n_ef_per_ev_cell=4.61 volume_a3_per_atom=29.5 pbc="T T T"
Tl 5.839 5.839 5.839
Tl 1.946 1.946 1.946
Pb 3.893 3.893 3.893
Cl 0.000 0.000 0.000


[8]
4
Lattice="-3.093 -1.063 -0.210 0.988 -3.027 0.780 -0.810 1.219 5.753" Properties=species:S:1:pos:R:3 comment="PBE Mg2NiPt, relaxed" rho_g_cm3=7.87 spacegroup="P4mm, No. 99" magmom_total_mub_per_cell=0.0 formation_energy_ev_per_atom=-0.291 n_ef_per_ev_cell=2.82 volume_a3_per_atom=15.9 pbc="T T T"
Pt -1.656 -1.137 4.570
Mg -1.287 -1.692 1.951
Ni -0.405 0.609 2.875
Mg -0.782 1.177 5.556